# Ba2CaHg

Ba2CaHg after structural relaxation (PBE, Alexandria).

Cell lengths 8.865, 8.865, 8.865 Å; angles 90.00, 90.00, 90.00 degrees
Space group Fm-3m (No. 225)
One atom of each set of equivalent atoms:
Ba  0.250  0.250  0.250 (multiplicity 8)
Ca  0.000  0.000  0.000 (multiplicity 4)
Hg  0.000  0.000  0.500 (multiplicity 4)

Computed properties:
- VASP energy: -1.6504 eV per atom
- ΔE_f: -0.5 eV per formula unit
- Offset from the most stable computed form: 0.148 eV per atom